## Na2ZrCl6 (PBE)

Data for a geometry-optimized Na2ZrCl6 structure.

Cell: 6.3845 6.3845 12.0537 Å, 90.00 90.00 90.00°
Positions (direct):
Na 0.0000 0.0000 0.1654
Na 0.0000 0.0000 0.8346
Na 0.5000 0.5000 0.3346
Na 0.5000 0.5000 0.6654
Zr 0.0000 0.0000 0.5000
Zr 0.5000 0.5000 0.0000
Cl 0.1903 0.1903 0.3507
Cl 0.1903 0.1903 0.6493
Cl 0.2238 0.2238 0.0000
Cl 0.2762 0.7238 0.5000
Cl 0.3097 0.6903 0.1493
Cl 0.3097 0.6903 0.8507
Cl 0.6903 0.3097 0.1493
Cl 0.6903 0.3097 0.8507
Cl 0.7238 0.2762 0.5000
Cl 0.7762 0.7762 0.0000
Cl 0.8097 0.8097 0.3507
Cl 0.8097 0.8097 0.6493

Calculated values
crystal system: tetragonal
symmetry: No. 136
E_tot: -4.28 eV per atom